Entry 1:
Here is crystalline Ca2HfPt at its relaxed geometry from Alexandria via LeMat-Bulk. Energies are from GGA-PBE.

Distance to the lowest polymorph of the same formula ... 0.0 meV/atom
Crystal system ... tetragonal
Formation energy ... -0.011 eV per atom

Cell lengths 10.0386, 10.0386, 7.5510 Å; angles 48.34, 48.34, 90.00 degrees
Fractional coordinates of all 8 atoms:
Hf: 0.5000 0.5000 0.0000
Hf: 0.2500 0.7500 0.5000
Ca: 0.3750 0.2480 0.7500
Ca: 0.7520 0.1250 0.2500
Ca: 0.8750 0.0020 0.7500
Ca: 0.9980 0.6250 0.2500
Pt: 0.7500 0.2500 0.5000
Pt: 0.0000 0.0000 0.0000

Entry 2:
Here is crystalline PRhWCl2 at its relaxed geometry from Alexandria via LeMat-Bulk. Energies are from GGA-PBE.

Distance to the lowest polymorph of the same formula ... 0.0 meV/atom
Crystal system ... tetragonal
ΔE_f (raw) ... 810 meV per atom

Cell lengths 4.6732, 4.6732, 4.8346 Å; angles 90.00, 90.00, 90.00 degrees
Site moments in Bohr magnetons follow the coordinates.
Fractional coordinates of all 5 atoms:
Cl: 0.0000 0.5000 0.0000  0.03
Cl: 0.5000 0.0000 0.0000  0.03
Rh: 0.5000 0.5000 0.5000  1.17
P: 0.0000 0.0000 0.5000  0.01
W: 0.0000 0.0000 0.0000  -0.11

Entry 3:
Here is crystalline DyCo3 at its relaxed geometry from Alexandria via LeMat-Bulk. Energies are from GGA-PBE.

Distance to the lowest polymorph of the same formula ... 112.2 meV/atom
Crystal system ... orthorhombic
Formation energy ... -0.070 eV per atom

Cell lengths 3.8146, 4.9197, 6.4975 Å; angles 90.00, 90.00, 90.00 degrees
Site moments in Bohr magnetons follow the coordinates.
Fractional coordinates of all 8 atoms:
Co: 0.0000 0.2500 0.1256  1.42
Co: 0.0000 0.7500 0.8744  1.42
Co: 0.5000 0.0000 0.0000  1.40
Co: 0.5000 0.2500 0.3379  1.33
Co: 0.5000 0.5000 0.0000  1.40
Co: 0.5000 0.7500 0.6621  1.33
Dy: 0.0000 0.7500 0.3205  -0.31
Dy: 0.0000 0.2500 0.6795  -0.31

Entry 4:
Here is crystalline Ce2SmHoBi4 at its relaxed geometry from Alexandria via LeMat-Bulk. Energies are from GGA-PBE.

Crystal system ... monoclinic
Formation energy ... -0.836 eV per atom

Cell lengths 4.5527, 7.8955, 7.8867 Å; angles 70.54, 90.00, 90.00 degrees
Site moments in Bohr magnetons follow the coordinates.
Fractional coordinates of all 8 atoms:
Bi: 0.5000 0.7443 0.2550  -0.03
Bi: 0.0000 0.7467 0.7480  -0.03
Bi: 0.5000 0.2557 0.7450  -0.03
Bi: 0.0000 0.2533 0.2520  -0.03
Sm: 0.5000 0.5000 0.0000  0.00
Ce: 0.5000 0.0000 0.5000  0.80
Ce: 0.0000 0.0000 0.0000  0.84
Ho: 0.0000 0.5000 0.5000  -0.01

Entry 5:
Here is crystalline LiDyTa2N4 at its relaxed geometry from Alexandria via LeMat-Bulk. Energies are from GGA-PBE.

Crystal system ... tetragonal
ΔE_f (raw) ... -1078 meV per atom

Cell lengths 4.5051, 4.5051, 5.4111 Å; angles 114.60, 114.60, 90.00 degrees
Fractional coordinates of all 8 atoms:
Li: 0.4373 0.4373 0.0000
N: 0.9371 0.4372 0.0000
N: 0.1986 0.1986 0.5230
N: 0.4372 0.9371 0.0000
N: 0.6757 0.6757 0.4770
Dy: 0.9372 0.9372 0.0000
Ta: 0.6872 0.1872 0.5000
Ta: 0.1872 0.6872 0.5000

Entry 6:
Here is crystalline Sm3Cu4 at its relaxed geometry from Alexandria via LeMat-Bulk. Energies are from GGA-PBE.

Crystal system ... orthorhombic
Formation energy ... -0.192 eV per atom

Cell lengths 4.3361, 5.4663, 13.4192 Å; angles 90.00, 90.00, 113.37 degrees
Fractional coordinates of all 14 atoms:
Cu: 0.5683 0.1366 0.9136
Cu: 0.0011 0.0022 0.0003
Cu: 0.5680 0.1361 0.5872
Cu: 0.4343 0.8686 0.0871
Cu: 0.6960 0.3919 0.7504
Cu: 0.4340 0.8681 0.4135
Cu: 0.0010 0.0020 0.5003
Cu: 0.3065 0.6130 0.2502
Sm: 0.9927 0.9854 0.7504
Sm: 0.0096 0.0193 0.2504
Sm: 0.2798 0.5596 0.8982
Sm: 0.7227 0.4454 0.1027
Sm: 0.2795 0.5591 0.6026
Sm: 0.7225 0.4451 0.3980

| no. | VASP energy (eV per atom) | size of the total moment (μB/f.u.) |
| --- | --- | --- |
| 1 | -5.010 | 0.0 |
| 2 | -5.072 | 1.2 |
| 3 | -6.550 | 3.7 |
| 4 | -5.422 | 1.7 |
| 5 | -9.018 | 0.0 |
| 6 | -4.555 | 0.0 |